No. 1
{"formula": "RbHf3Br", "functional": "meta-GGA SCAN", "state": "PBEsol geometry", "e_form_raw_mev_per_atom": 1075, "total_energy_ev_per_atom": -44.568, "sg": "No. 221", "cell": [[5.087, 0.000, 0.000], [0.000, 5.087, 0.000], [0.000, 0.000, 5.087]], "species": ["Rb", "Hf", "Hf", "Hf", "Br"], "fractional_positions": [[0.000, 0.000, 0.000], [0.000, 0.500, 0.500], [0.500, 0.000, 0.500], [0.500, 0.500, 0.000], [0.500, 0.500, 0.500]]}



No. 2
{"formula": "HfRe3Br", "functional": "meta-GGA SCAN", "state": "PBEsol geometry", "e_form_raw_mev_per_atom": 1932, "total_energy_ev_per_atom": -57.153, "sg": "No. 221", "cell": [[4.503, 0.000, 0.000], [0.000, 4.503, 0.000], [0.000, 0.000, 4.503]], "species": ["Hf", "Re", "Re", "Re", "Br"], "fractional_positions": [[0.000, 0.000, 0.000], [0.000, 0.500, 0.500], [0.500, 0.000, 0.500], [0.500, 0.500, 0.000], [0.500, 0.500, 0.500]]}



No. 3
{"formula": "HfReW2Br", "functional": "meta-GGA SCAN", "state": "PBEsol geometry", "e_form_raw_mev_per_atom": 2195, "total_energy_ev_per_atom": -56.327, "sg": "No. 123", "cell": [[4.500, 0.000, 0.000], [0.000, 4.500, 0.000], [0.000, 0.000, 4.667]], "species": ["Hf", "Re", "W", "W", "Br"], "fractional_positions": [[0.000, 0.000, 0.000], [0.500, 0.500, 0.000], [0.000, 0.500, 0.500], [0.500, 0.000, 0.500], [0.000, 0.000, 0.500]]}



No. 4
{"formula": "Hf3RhBr", "functional": "meta-GGA SCAN", "state": "PBEsol geometry", "e_form_raw_mev_per_atom": 242, "total_energy_ev_per_atom": -48.008, "sg": "No. 221", "cell": [[4.970, 0.000, 0.000], [0.000, 4.970, 0.000], [0.000, 0.000, 4.970]], "species": ["Hf", "Hf", "Hf", "Rh", "Br"], "fractional_positions": [[0.000, 0.000, 0.500], [0.000, 0.500, 0.000], [0.500, 0.000, 0.000], [0.000, 0.000, 0.000], [0.500, 0.500, 0.500]]}